(1)
A plane-wave DFT calculation with SCAN was carried out for a crystal of BaScW relaxed with PBEsol.

Computed properties:
For the formation energy, the calculation gives 2.83 eV/f.u. The final energy is -120.6 eV/cell. The calculation puts the density of states at the Fermi level at 2.7 states/eV per cell. The spin magnetization is 0.00 μB/cell.

Geometry as POSCAR:
```
BaScW
1.0
3.052 -0.005 0.000
-0.338 3.033 0.000
-1.357 -1.514 8.111
W Sc Ba
1 1 1
Cartesian
0.000 0.000 5.150
1.357 1.514 3.208
1.357 1.514 7.864
```

***

(2)
A plane-wave DFT calculation with SCAN was carried out for a crystal of CaCoW2 relaxed with PBEsol.

Computed properties:
For the formation energy, the calculation gives 2.78 eV/f.u. The final energy is -163.6 eV/cell. The calculation puts the density of states at the Fermi level at 3.6 states/eV per cell. The spin magnetization is 1.61 μB/cell. Its relative energy among the computed polymorphs is 0.000 eV/atom.

Geometry as POSCAR:
```
CaCoW2
1.0
-0.723 -2.058 1.611
2.515 -0.093 1.010
-2.319 5.748 6.301
W Co Ca
2 1 1
Cartesian
-0.699 1.733 1.900
-1.619 4.015 4.401
-0.263 1.798 4.461
0.896 -1.075 1.310
```

***

(3)
A plane-wave DFT calculation with SCAN was carried out for a crystal of Sn2HgRu2 relaxed with PBEsol.

Computed properties:
For the formation energy, the calculation gives 1.66 eV/f.u. The final energy is -208.0 eV/cell. The calculation puts the density of states at the Fermi level at 5.0 states/eV per cell. The spin magnetization is 0.00 μB/cell.

Geometry as POSCAR:
```
Sn2HgRu2
1.0
4.150 0.000 0.000
0.000 4.150 0.000
-2.075 -2.075 5.725
Sn Ru Hg
2 2 1
Cartesian
2.075 0.000 2.862
0.000 2.075 2.862
2.075 2.075 1.221
0.000 0.000 4.503
0.000 0.000 0.000
```

***

(4)
A plane-wave DFT calculation with SCAN was carried out for a crystal of YZr2P relaxed with PBEsol.

Computed properties:
For the formation energy, the calculation gives -1.35 eV/f.u. The final energy is -101.0 eV/cell. The calculation puts the density of states at the Fermi level at 2.8 states/eV per cell. The spin magnetization is 0.00 μB/cell.

Geometry as POSCAR:
```
YZr2P
1.0
-2.990 2.835 0.450
0.125 -0.521 4.110
4.709 2.246 -1.949
Zr Y P
2 1 1
Cartesian
1.701 1.441 2.221
0.143 3.119 0.391
0.000 0.000 0.000
-1.432 1.157 2.280
```

***

(5)
A plane-wave DFT calculation with SCAN was carried out for a crystal of Mg3IO relaxed with PBEsol.

Computed properties:
The final energy is -60.9 eV/cell. The calculation puts the density of states at the Fermi level at 2.0 states/eV per cell. The spin magnetization is 0.00 μB/cell. As for the uncorrected formation energy: -58 kJ per mole of atoms.

Geometry as POSCAR:
```
Mg3IO
1.0
4.614 0.000 0.000
0.000 4.614 0.000
0.000 0.000 4.614
Mg O I
3 1 1
Cartesian
0.000 2.307 0.000
0.000 0.000 2.307
2.307 0.000 0.000
0.000 0.000 0.000
2.307 2.307 2.307
```

***

(6)
A plane-wave DFT calculation with SCAN was carried out for a crystal of CaFeAg2 relaxed with PBEsol.

Computed properties:
For the formation energy, the calculation gives 0.89 eV/f.u. The final energy is -89.6 eV/cell. The calculation puts the density of states at the Fermi level at 2.2 states/eV per cell. The spin magnetization is 3.08 μB/cell.

Geometry as POSCAR:
```
CaFeAg2
1.0
3.393 0.000 0.000
0.000 3.393 0.000
0.000 0.000 6.504
Ag Ca Fe
2 1 1
Cartesian
0.000 0.000 6.403
1.696 1.696 1.383
0.000 0.000 3.282
1.696 1.696 5.192
```

***

(7)
A plane-wave DFT calculation with SCAN was carried out for a crystal of Ta2AgPb relaxed with PBEsol.

Computed properties:
For the formation energy, the calculation gives 1.47 eV/f.u. The final energy is -238.8 eV/cell. The calculation puts the density of states at the Fermi level at 1.5 states/eV per cell. The spin magnetization is 0.00 μB/cell.

Geometry as POSCAR:
```
Ta2AgPb
1.0
4.060 0.000 0.000
0.000 4.060 0.000
0.000 0.000 4.481
Ta Pb Ag
2 1 1
Cartesian
2.030 0.000 0.000
0.000 2.030 0.000
0.000 0.000 2.241
2.030 2.030 2.241
```

***

(8)
A plane-wave DFT calculation with SCAN was carried out for a crystal of MgReBr2 relaxed with PBEsol.

Computed properties:
The final energy is -114.6 eV/cell. The calculation puts the density of states at the Fermi level at 2.7 states/eV per cell. The spin magnetization is 0.00 μB/cell. As for the uncorrected formation energy: 9 kJ per mole of atoms.

Geometry as POSCAR:
```
MgReBr2
1.0
3.273 0.000 0.000
0.000 3.702 -0.070
0.000 -1.715 7.476
Re Mg Br
1 1 2
Cartesian
1.637 1.251 5.109
0.000 -0.622 3.986
1.637 1.201 2.514
0.000 1.286 6.942
```

***

Which of these has the lowest final energy?
Ta2AgPb

***

Which of these has the highest final energy?
Mg3IO

***

Which formula does entry 7 have?
Ta2AgPb